Computed, not measured: a geometry-optimized PRh3Pb structure at the PBE-GGA level of DFT.

Unit cell a=4.4803 b=4.4803 c=4.4803 alpha=90.00 beta=90.00 gamma=90.00
Closest atoms and distances in Å follow each position.
Fractional positions:
P 0.0000 0.0000 0.0000  6 Rh 2.24
Rh 0.5000 0.0000 0.0000  2 P 2.24
Rh 0.0000 0.5000 0.0000  2 P 2.24
Rh 0.0000 0.0000 0.5000  2 P 2.24
Pb 0.5000 0.5000 0.5000  12 Rh 3.17

energy relative to the elements = -0.066 eV/atom
excess energy over the best structure of this formula in the dataset = 0 meV/atom
total DFT energy (no corrections) = -31.5 eV/cell
V = 17.99 A^3/atom
total magnetization = 0.00 μB/cell

Computed, not measured: a geometry-optimized PRh5Pb2 structure at the PBE-GGA level of DFT.

Unit cell a=4.0185 b=6.0849 c=10.9127 alpha=90.00 beta=90.00 gamma=90.00
Closest atoms and distances in Å follow each position.
Fractional positions:
Rh 0.0000 0.3904 0.1991  1 P 2.27
Rh 0.5000 0.8341 0.5830  2 P 2.42, 1 Rh 2.71
Rh 0.0000 0.0000 0.0000  4 Pb 2.74, 4 Rh 3.00, 2 P 3.04
Rh 0.0000 0.1096 0.6991  1 P 2.27
Rh 0.5000 0.6659 0.0830  2 P 2.42, 1 Rh 2.71
Rh 0.0000 0.5000 0.5000  4 Pb 2.74, 4 Rh 3.00, 2 P 3.04
Rh 0.0000 0.6096 0.8009  1 P 2.27
Rh 0.0000 0.8904 0.3009  1 P 2.27
Rh 0.5000 0.1659 0.4170  2 P 2.42, 1 Rh 2.71
Rh 0.5000 0.3341 0.9170  2 P 2.42, 1 Rh 2.71
Pb 0.5000 0.4061 0.6618  9 Rh 2.73-3.04
Pb 0.5000 0.9061 0.8382  9 Rh 2.73-3.04
Pb 0.5000 0.0939 0.1618  9 Rh 2.73-3.04
Pb 0.5000 0.5939 0.3382  9 Rh 2.73-3.04
P 0.0000 0.5000 0.0000  6 Rh 2.27-2.42
P 0.0000 0.0000 0.5000  6 Rh 2.27-2.42

energy relative to the elements = -0.167 eV/atom
total DFT energy (no corrections) = -101.8 eV/cell
V = 16.68 A^3/atom
total magnetization = 0.00 μB/cell

Computed, not measured: a geometry-optimized PRh2Pb structure at the PBE-GGA level of DFT.

Unit cell a=3.4168 b=3.1454 c=6.8736 alpha=81.46 beta=90.00 gamma=90.00
Closest atoms and distances in Å follow each position.
Fractional positions:
Pb 0.5000 0.0000 0.5000  8 Rh 3.06-3.33, 4 Pb 3.15-3.42
Rh 0.0000 0.6919 0.1785  2 P 2.24
Rh 0.0000 0.3081 0.8215  2 P 2.24
P 0.5000 0.5000 0.0000  4 Rh 2.24

energy relative to the elements = -0.151 eV/atom
total DFT energy (no corrections) = -24.4 eV/cell
V = 18.26 A^3/atom
total magnetization = 0.00 μB/cell

Computed, not measured: a geometry-optimized PRh2Pb structure at the PBE-GGA level of DFT.

Unit cell a=5.0696 b=5.0696 c=5.0696 alpha=140.41 beta=111.90 gamma=81.74
Closest atoms and distances in Å follow each position.
Fractional positions:
Pb 0.5000 0.0000 0.5000  8 Rh 2.96-3.17, 4 P 3.32
Rh 0.1852 0.1852 0.0000  2 P 2.23
Rh 0.8148 0.8148 0.0000  2 P 2.23
P 0.0000 0.5000 0.5000  4 Rh 2.23

energy relative to the elements = -0.119 eV/atom
total DFT energy (no corrections) = -24.3 eV/cell
V = 18.68 A^3/atom
total magnetization = 0.00 μB/cell

Computed, not measured: a geometry-optimized PRh2Pb structure at the PBE-GGA level of DFT.

Unit cell a=5.4112 b=5.4112 c=5.4112 alpha=139.07 beta=139.07 gamma=59.27
Closest atoms and distances in Å follow each position.
Fractional positions:
Pb 0.7500 0.2500 0.5000  4 Rh 2.68
Rh 0.0000 0.0000 0.0000  4 P 2.68
Rh 0.2500 0.7500 0.5000  4 Pb 2.68
P 0.5000 0.5000 0.0000  4 Rh 2.68

energy relative to the elements = 0.162 eV/atom
total DFT energy (no corrections) = -23.2 eV/cell
V = 16.84 A^3/atom
total magnetization = 0.00 μB/cell

Computed, not measured: a geometry-optimized PRh2Pb structure at the PBE-GGA level of DFT.

Unit cell a=5.1841 b=5.1841 c=7.4400 alpha=69.61 beta=69.61 gamma=90.00
Closest atoms and distances in Å follow each position.
Fractional positions:
Rh 0.5353 0.1250 0.2500  2 P 2.23
Rh 0.3750 0.4647 0.7500  2 P 2.23
Rh 0.2147 0.6250 0.2500  2 P 2.23
Rh 0.8750 0.7853 0.7500  2 P 2.23
Pb 0.0000 0.0000 0.0000  4 Rh 2.72
Pb 0.7500 0.2500 0.5000  4 Rh 2.72
P 0.5000 0.5000 0.0000  4 Rh 2.23
P 0.2500 0.7500 0.5000  4 Rh 2.23

energy relative to the elements = -0.080 eV/atom
total DFT energy (no corrections) = -48.3 eV/cell
V = 21.75 A^3/atom
total magnetization = 0.00 μB/cell

Computed, not measured: a geometry-optimized PRh2Pb structure at the PBE-GGA level of DFT.

Unit cell a=3.3142 b=3.4232 c=6.1307 alpha=90.00 beta=90.00 gamma=90.00
Closest atoms and distances in Å follow each position.
Fractional positions:
Rh 0.5000 0.5000 0.3108  4 P 2.43
Rh 0.0000 0.0000 0.0196  1 P 2.28
P 0.0000 0.0000 0.3922  5 Rh 2.28-2.43
Pb 0.5000 0.5000 0.7773  5 Rh 2.81-2.86

energy relative to the elements = -0.203 eV/atom
total DFT energy (no corrections) = -24.6 eV/cell
V = 17.39 A^3/atom
total magnetization = 0.00 μB/cell

Computed, not measured: a geometry-optimized PRh2Pb structure at the PBE-GGA level of DFT.

Unit cell a=4.1716 b=4.1716 c=5.8900 alpha=80.41 beta=80.41 gamma=48.29
Closest atoms and distances in Å follow each position.
Fractional positions:
P 0.4574 0.4574 0.7008  5 Rh 2.28-2.33
Rh 0.0176 0.0176 0.9317  2 P 2.28
Rh 0.7681 0.7681 0.6342  3 P 2.31-2.33
Pb 0.2570 0.2570 0.2334  5 Rh 2.77-2.95

energy relative to the elements = -0.322 eV/atom
total DFT energy (no corrections) = -25.1 eV/cell
V = 18.81 A^3/atom
total magnetization = 0.00 μB/cell

Computed, not measured: a geometry-optimized P2RhPb2 structure at the PBE-GGA level of DFT.

Unit cell a=6.1219 b=6.1219 c=5.5829 alpha=90.00 beta=90.00 gamma=90.00
Closest atoms and distances in Å follow each position.
Fractional positions:
P 0.3721 0.8721 0.0000  1 P 2.21, 2 Rh 2.41
P 0.6279 0.1279 0.0000  1 P 2.21, 2 Rh 2.41
P 0.8721 0.6279 0.0000  1 P 2.21, 2 Rh 2.41
P 0.1279 0.3721 0.0000  1 P 2.21, 2 Rh 2.41
Rh 0.0000 0.0000 0.0000  4 P 2.41
Rh 0.5000 0.5000 0.0000  4 P 2.41
Pb 0.1892 0.6892 0.5000  5 Pb 3.15-3.28, 6 P 3.21-3.42
Pb 0.3108 0.1892 0.5000  5 Pb 3.15-3.28, 6 P 3.21-3.42
Pb 0.8108 0.3108 0.5000  5 Pb 3.15-3.28, 6 P 3.21-3.42
Pb 0.6892 0.8108 0.5000  5 Pb 3.15-3.28, 6 P 3.21-3.42

energy relative to the elements = -0.119 eV/atom
total DFT energy (no corrections) = -52.4 eV/cell
V = 20.92 A^3/atom
total magnetization = 0.00 μB/cell

Computed, not measured: a geometry-optimized PRh2Pb structure at the PBE-GGA level of DFT.

Unit cell a=3.5475 b=4.4122 c=4.8536 alpha=90.00 beta=90.00 gamma=90.00
Closest atoms and distances in Å follow each position.
Fractional positions:
Rh 0.0000 0.5000 0.7593  2 P 2.33
Rh 0.5000 0.0000 0.8894  2 P 2.24
Pb 0.5000 0.5000 0.2444  6 Rh 2.80-3.06
P 0.0000 0.0000 0.6069  4 Rh 2.24-2.33

energy relative to the elements = -0.236 eV/atom
total DFT energy (no corrections) = -24.8 eV/cell
V = 18.99 A^3/atom
total magnetization = 0.00 μB/cell

Computed, not measured: a geometry-optimized P2Rh2Pb3 structure at the PBE-GGA level of DFT.

Unit cell a=5.9122 b=5.9122 c=5.9122 alpha=94.71 beta=94.71 gamma=94.71
Closest atoms and distances in Å follow each position.
Fractional positions:
Rh 0.7247 0.7247 0.7247  1 P 2.10
Rh 0.2753 0.2753 0.2753  1 P 2.10
Pb 0.0000 0.0000 0.5000  2 Rh 2.71, 2 P 2.96
Pb 0.5000 0.0000 0.0000  2 Rh 2.71, 2 P 2.96
Pb 0.0000 0.5000 0.0000  2 Rh 2.71, 2 P 2.96
P 0.0000 0.0000 0.0000  2 Rh 2.58
P 0.5000 0.5000 0.5000  2 Rh 2.10

energy relative to the elements = 0.249 eV/atom
total DFT energy (no corrections) = -34.9 eV/cell
V = 29.21 A^3/atom
total magnetization = 0.00 μB/cell

Computed, not measured: a geometry-optimized PRh2Pb structure at the PBE-GGA level of DFT.

Unit cell a=7.1876 b=7.1876 c=7.1876 alpha=154.22 beta=153.84 gamma=37.06
Closest atoms and distances in Å follow each position.
Fractional positions:
Rh 0.1641 0.6641 0.5000  2 P 2.28
Rh 0.9871 0.9871 0.0000  4 P 2.42
P 0.5465 0.5465 0.0000  6 Rh 2.28-2.42
Pb 0.8023 0.3023 0.5000  6 Rh 2.96-2.99, 4 Pb 3.21-3.25

energy relative to the elements = -0.282 eV/atom
total DFT energy (no corrections) = -24.9 eV/cell
V = 17.78 A^3/atom
total magnetization = 0.00 μB/cell

- What is the V in the seventh record?
  17.39 A^3/atom

Repeat the first record exactly.
Computed, not measured: a geometry-optimized PRh3Pb structure at the PBE-GGA level of DFT.

Unit cell a=4.4803 b=4.4803 c=4.4803 alpha=90.00 beta=90.00 gamma=90.00
Closest atoms and distances in Å follow each position.
Fractional positions:
P 0.0000 0.0000 0.0000  6 Rh 2.24
Rh 0.5000 0.0000 0.0000  2 P 2.24
Rh 0.0000 0.5000 0.0000  2 P 2.24
Rh 0.0000 0.0000 0.5000  2 P 2.24
Pb 0.5000 0.5000 0.5000  12 Rh 3.17

energy relative to the elements = -0.066 eV/atom
excess energy over the best structure of this formula in the dataset = 0 meV/atom
total DFT energy (no corrections) = -31.5 eV/cell
V = 17.99 A^3/atom
total magnetization = 0.00 μB/cell

- What is the formula in the tenth record?
  PRh2Pb